# Pr2ErIr PBE relaxed
data_Pr2ErIr
_space_group_name_H-M_alt 'R -3 m'
_space_group_IT_number 166
_space_group_name_Hall '-R 3 2"'
_cell_length_a 3.8249
_cell_length_b 3.8249
_cell_length_c 32.1294
_cell_angle_alpha 90.00
_cell_angle_beta 90.00
_cell_angle_gamma 120.00
loop_
_atom_site_label
_atom_site_type_symbol
_atom_site_fract_x
_atom_site_fract_y
_atom_site_fract_z
Pr1 Pr 0.0000 0.0000 0.1110
Er1 Er 0.0000 0.0000 0.0000
Ir1 Ir 0.0000 0.0000 0.5000
# Calculated density in g cm⁻³: 7.85
# Magnetization in μB per formula unit: 0.1
# Energy relative to the elements in kJ/mol of formula units: 2